{
  "formula": "Ba2Co3Cl2O4",
  "functional": "GGA+U",
  "state": "relaxed",
  "lattice_angstrom": [[-2.820, 2.820, 6.760], [2.820, -2.820, 6.760], [2.820, 2.820, -6.760]],
  "species": ["Ba", "Ba", "Cl", "Cl", "Co", "Co", "Co", "O", "O", "O", "O"],
  "frac_coords": [[0.641, 0.141, 0.500], [0.359, 0.859, 0.500], [0.250, 0.250, 0.000], [0.750, 0.750, 0.000], [0.000, 0.000, 0.000], [0.500, 0.500, 0.000], [0.000, 0.500, 0.500], [0.752, 0.252, 0.004], [0.752, 0.748, 0.500], [0.248, 0.252, 0.500], [0.248, 0.748, 0.996]],
  "total_magnetization_mub_per_cell": 9.0,
  "vol_a3_per_atom": 19.545,
  "e_above_lowest_polymorph_mev_per_atom": 3
}